An optimized crystal structure of SmZrSn. Source: OQMD, functional PBE.

Cell and atoms, written as CIF:
```
data_SmZrSn
_chemical_formula_sum 'Sm4 Zr4 Sn4'
_symmetry_space_group_name_H-M 'F -4 3 m'
_symmetry_Int_Tables_number 216
_symmetry_space_group_name_Hall 'F -4 2 3'
_cell_length_a 7.166
_cell_length_b 7.166
_cell_length_c 7.166
_cell_angle_alpha 90.00
_cell_angle_beta 90.00
_cell_angle_gamma 90.00
loop_
_atom_site_label
_atom_site_type_symbol
_atom_site_fract_x
_atom_site_fract_y
_atom_site_fract_z
Sm1 Sm 0.000 0.000 0.000
Zr1 Zr 0.250 0.250 0.250
Sn1 Sn 0.000 0.000 0.500
```

- theoretical density (kg/m3) = 6503
- electronic total energy (eV per atom) = -5.473

An optimized crystal structure of SmZrSn. Source: OQMD, functional PBE.

Cell and atoms, written as CIF:
```
data_SmZrSn
_chemical_formula_sum 'Sm4 Zr4 Sn4'
_symmetry_space_group_name_H-M 'F -4 3 m'
_symmetry_Int_Tables_number 216
_symmetry_space_group_name_Hall 'F -4 2 3'
_cell_length_a 7.262
_cell_length_b 7.262
_cell_length_c 7.262
_cell_angle_alpha 90.00
_cell_angle_beta 90.00
_cell_angle_gamma 90.00
loop_
_atom_site_label
_atom_site_type_symbol
_atom_site_fract_x
_atom_site_fract_y
_atom_site_fract_z
Sm1 Sm 0.000 0.000 0.000
Zr1 Zr 0.250 0.250 0.250
Sn1 Sn 0.250 0.250 0.750
```

- theoretical density (kg/m3) = 6248
- electronic total energy (eV per atom) = -5.224

An optimized crystal structure of SrSmTc. Source: OQMD, functional PBE.

Cell and atoms, written as CIF:
```
data_SrSmTc
_chemical_formula_sum 'Sr4 Sm4 Tc4'
_symmetry_space_group_name_H-M 'F -4 3 m'
_symmetry_Int_Tables_number 216
_symmetry_space_group_name_Hall 'F -4 2 3'
_cell_length_a 7.025
_cell_length_b 7.025
_cell_length_c 7.025
_cell_angle_alpha 90.00
_cell_angle_beta 90.00
_cell_angle_gamma 90.00
loop_
_atom_site_label
_atom_site_type_symbol
_atom_site_fract_x
_atom_site_fract_y
_atom_site_fract_z
Sr1 Sr 0.000 0.000 0.000
Sm1 Sm 0.250 0.250 0.250
Tc1 Tc 0.000 0.000 0.500
```

- theoretical density (kg/m3) = 6436
- electronic total energy (eV per atom) = -4.365

An optimized crystal structure of SrSmTe. Source: OQMD, functional PBE.

Cell and atoms, written as CIF:
```
data_SrSmTe
_chemical_formula_sum 'Sr4 Sm4 Te4'
_symmetry_space_group_name_H-M 'F -4 3 m'
_symmetry_Int_Tables_number 216
_symmetry_space_group_name_Hall 'F -4 2 3'
_cell_length_a 7.541
_cell_length_b 7.541
_cell_length_c 7.541
_cell_angle_alpha 90.00
_cell_angle_beta 90.00
_cell_angle_gamma 90.00
loop_
_atom_site_label
_atom_site_type_symbol
_atom_site_fract_x
_atom_site_fract_y
_atom_site_fract_z
Sr1 Sr 0.000 0.000 0.000
Sm1 Sm 0.000 0.000 0.500
Te1 Te 0.250 0.250 0.750
```

- theoretical density (kg/m3) = 5663
- relative energy among the computed polymorphs (meV per atom) = 0
- electronic total energy (eV per atom) = -3.758

An optimized crystal structure of SrSm2Te3. Source: OQMD, functional PBE.

Cell and atoms, written as CIF:
```
data_SrSm2Te3
_chemical_formula_sum 'Sr1 Sm2 Te3'
_symmetry_space_group_name_H-M 'P -3 m 1'
_symmetry_Int_Tables_number 164
_symmetry_space_group_name_Hall '-P 3 2"'
_cell_length_a 4.5429
_cell_length_b 4.5429
_cell_length_c 11.0991
_cell_angle_alpha 90.00
_cell_angle_beta 90.00
_cell_angle_gamma 120.00
loop_
_atom_site_label
_atom_site_type_symbol
_atom_site_fract_x
_atom_site_fract_y
_atom_site_fract_z
Sr1 Sr 0.0000 0.0000 0.0000
Sm1 Sm 0.3333 0.6667 0.6491
Te1 Te 0.0000 0.0000 0.5000
Te2 Te 0.3333 0.6667 0.1811
```

- theoretical density (kg/m3) = 6455
- electronic total energy (eV per atom) = -4.924

An optimized crystal structure of SrSmZnTe3. Source: OQMD, functional PBE.

Cell and atoms, written as CIF:
```
data_SrSmZnTe3
_chemical_formula_sum 'Sr4 Sm4 Zn4 Te12'
_symmetry_space_group_name_H-M 'C m c m'
_symmetry_Int_Tables_number 63
_symmetry_space_group_name_Hall '-C 2c 2'
_cell_length_a 4.328
_cell_length_b 15.405
_cell_length_c 11.384
_cell_angle_alpha 90.00
_cell_angle_beta 90.00
_cell_angle_gamma 90.00
loop_
_atom_site_label
_atom_site_type_symbol
_atom_site_fract_x
_atom_site_fract_y
_atom_site_fract_z
Sr1 Sr 0.000 0.236 0.250
Sm1 Sm 0.000 0.000 0.000
Zn1 Zn 0.000 0.473 0.750
Te1 Te 0.000 0.090 0.750
Te2 Te 0.000 0.358 0.565
```

- theoretical density (kg/m3) = 6004
- electronic total energy (eV per atom) = -3.935